A geometry-optimized BeOs2Cl structure. Source: the Alexandria database, functional PBE-GGA.

## Properties
Total energy = -5.53 eV per atom
N(E_F) = 19.2 states/eV per cell
E_form (uncorrected) = 1.4791 eV per atom
Crystal system = tetragonal

Lattice parameters (Å, degrees): 5.1845 5.1845 9.7486 90.00 90.00 90.00
Space group I-42d (No. 122)
Unique sites:
Be 0.0000 0.0000 0.0000 [4 per cell]
Os 0.2343 0.2500 0.1250 [8 per cell]
Cl 0.0000 0.0000 0.5000 [4 per cell]

A geometry-optimized Be2OsCl structure. Source: the Alexandria database, functional PBE-GGA.

## Properties
Total energy = -4.97 eV per atom
N(E_F) = 2.9 states/eV per cell
E_form (uncorrected) = 0.1666 eV per atom
Crystal system = monoclinic

Lattice parameters (Å, degrees): 7.2717 2.9166 5.7622 90.00 96.58 90.00
Space group Cm (No. 8)
Unique sites:
Be 0.0000 0.0000 0.0000 [2 per cell]
Be 0.2362 0.5000 0.1564 [2 per cell]
Os 0.4656 0.0000 0.2920 [2 per cell]
Cl 0.0669 0.0000 0.6715 [2 per cell]

- Look up the N(E_F) of the first one.
  19.2 states/eV per cell

- The lowest total energy belongs to which entry?
  BeOs2Cl